VASP calculation (GGA-PBE) on crystalline Rb3In4Au at its relaxed geometry.

a = 6.477 Å, b = 14.809 Å, c = 6.768 Å
α = 90.00°, β = 90.00°, γ = 90.00°
Space group Pmmn (No. 59, origin choice 2)
Symmetry-distinct sites (fractional):
Rb (0.250, 0.011, 0.205) (multiplicity 4)
Rb (0.250, 0.750, 0.511) (multiplicity 2)
In (0.016, 0.750, 0.007) (multiplicity 4)
In (0.250, 0.140, 0.689) (multiplicity 4)
Au (0.250, 0.250, 0.335) (multiplicity 2)

Formation enthalpy at 0 K: -0.14 eV/atom
Crystal system: orthorhombic

VASP calculation (GGA-PBE) on crystalline GaH2Ir at its relaxed geometry.

a = 5.301 Å, b = 5.301 Å, c = 5.301 Å
α = 90.00°, β = 90.00°, γ = 90.00°
Space group Fm-3m (No. 225)
Symmetry-distinct sites (fractional):
Ga (0.000, 0.000, 0.000) (multiplicity 4)
H (0.250, 0.250, 0.250) (multiplicity 8)
Ir (0.000, 0.000, 0.500) (multiplicity 4)

Relative energy among the computed polymorphs: 545.2 meV/atom
Crystal system: cubic

VASP calculation (GGA-PBE) on crystalline CaCrRh at its relaxed geometry.

a = 3.092 Å, b = 3.568 Å, c = 10.717 Å
α = 90.00°, β = 90.00°, γ = 90.00°
Space group Imm2 (No. 44)
Symmetry-distinct sites (fractional):
Ca (0.000, 0.000, 0.000) (multiplicity 2)
Cr (0.000, 0.000, 0.285) (multiplicity 2)
Rh (0.000, 0.000, 0.698) (multiplicity 2)

Formation enthalpy at 0 K: 0.13 eV/atom
Relative energy among the computed polymorphs: 0.0 meV/atom
Crystal system: orthorhombic

VASP calculation (GGA-PBE) on crystalline KGd2Dy at its relaxed geometry.

a = 3.6026 Å, b = 3.6026 Å, c = 39.6773 Å
α = 90.00°, β = 90.00°, γ = 120.00°
Space group R-3m (No. 166, hexagonal axes)
Symmetry-distinct sites (fractional):
K (0.0000, 0.0000, 0.0000) (multiplicity 3)
Gd (0.0000, 0.0000, 0.0959) (multiplicity 6)
Dy (0.0000, 0.0000, 0.5000) (multiplicity 3)

Formation enthalpy at 0 K: 0.22 eV/atom
Crystal system: trigonal